Material: Rb3Al
Method: DFT, PBE
State: optimized geometry

energy relative to the elements = 7.89 kcal/mol of atoms
Fermi-level density of states = 4.618 states/eV/f.u.
crystal system = tetragonal

a b c (Å): 6.7077 6.7077 6.7077
angles (deg): 119.61 119.61 90.68
Each line ends with the local moment (μB).
Element x y z (fractional)
Rb 0.5000 0.5000 0.0000  0.02
Al 0.0000 0.0000 0.0000  0.14
Rb 0.2500 0.7500 0.5000  0.03
Rb 0.7500 0.2500 0.5000  0.03